# 1
Below is crystalline KAl2Tl4 at its relaxed geometry, with properties calculated at the PBE level.

Cell: 6.0727 6.0727 14.9028 Å, 90.00 90.00 90.00°
Last column: nearest neighbours and their distance in Å.
Fractional coordinates of all 14 atoms:
K  0.0000  0.0000  0.0000  6 Tl 3.04-3.34
K  0.5000  0.5000  0.5000  6 Tl 3.04-3.34
Al  0.0000  0.0000  0.4136  1 Al 2.58, 1 Tl 2.82
Al  0.0000  0.0000  0.5864  1 Al 2.58, 1 Tl 2.82
Al  0.5000  0.5000  0.0864  1 Al 2.58, 1 Tl 2.82
Al  0.5000  0.5000  0.9136  1 Al 2.58, 1 Tl 2.82
Tl  0.0000  0.0000  0.2243  1 Al 2.82
Tl  0.0000  0.0000  0.7757  1 Al 2.82
Tl  0.0000  0.5000  0.0000  2 K 3.04, 4 Al 3.30
Tl  0.0000  0.5000  0.5000  2 K 3.04, 4 Al 3.30
Tl  0.5000  0.0000  0.0000  2 K 3.04, 4 Al 3.30
Tl  0.5000  0.0000  0.5000  2 K 3.04, 4 Al 3.30
Tl  0.5000  0.5000  0.2757  1 Al 2.82
Tl  0.5000  0.5000  0.7243  1 Al 2.82

Values from the calculation:
* E_form: 533 meV/atom
* total moment: 0.0 μB/cell



# 2
Below is crystalline Dy7Ho12Zr at its relaxed geometry, with properties calculated at the PBE level.

Cell: 9.7737 9.7737 9.7737 Å, 109.47 109.47 109.47°
Last column: nearest neighbours and their distance in Å.
Fractional coordinates of all 20 atoms:
Dy  0.0000  0.0000  0.5000  6 Ho 2.86
Dy  0.0000  0.5000  0.0000  6 Ho 2.86
Dy  0.0000  0.5000  0.5000  12 Ho 4.02-4.49
Dy  0.5000  0.0000  0.0000  6 Ho 2.86
Dy  0.5000  0.0000  0.5000  12 Ho 4.02-4.49
Dy  0.5000  0.5000  0.0000  12 Ho 4.02-4.49
Dy  0.5000  0.5000  0.5000  6 Ho 2.86
Ho  0.0000  0.2189  0.7811  2 Dy 2.86
Ho  0.0000  0.7811  0.2189  2 Dy 2.86
Ho  0.2189  0.0000  0.7811  2 Dy 2.86
Ho  0.2189  0.2189  0.4378  2 Dy 2.86
Ho  0.2189  0.4378  0.2189  2 Dy 2.86
Ho  0.2189  0.7811  0.0000  2 Dy 2.86
Ho  0.4378  0.2189  0.2189  2 Dy 2.86
Ho  0.5622  0.7811  0.7811  2 Dy 2.86
Ho  0.7811  0.0000  0.2189  2 Dy 2.86
Ho  0.7811  0.2189  0.0000  2 Dy 2.86
Ho  0.7811  0.5622  0.7811  2 Dy 2.86
Ho  0.7811  0.7811  0.5622  2 Dy 2.86
Zr  0.0000  0.0000  0.0000  12 Ho 3.49

Values from the calculation:
* E_form: 783 meV/atom
* excess energy over the best structure of this formula in the dataset: 515 meV per atom
* total moment: 0.0 μB/cell



# 3
Below is crystalline K2Sr at its relaxed geometry, with properties calculated at the PBE level.

Cell: 8.1516 8.1516 8.1516 Å, 60.00 60.00 60.00°
Last column: nearest neighbours and their distance in Å.
Fractional coordinates of all 6 atoms:
K  0.0000  0.0000  0.0000  6 K 4.08
K  0.0000  0.0000  0.5000  6 K 4.08
K  0.0000  0.5000  0.0000  6 K 4.08
K  0.5000  0.0000  0.0000  6 K 4.08
Sr  0.3750  0.3750  0.3750  12 K 4.78, 4 Sr 4.99
Sr  0.6250  0.6250  0.6250  12 K 4.78, 4 Sr 4.99

Values from the calculation:
* E_form: 141 meV/atom
* total moment: 0.0 μB/cell